P.
## Be2AlTe (PBE)

Data for Be2AlTe after structural relaxation.

Lattice parameters (Å, degrees): 4.1883 4.1883 4.7953 90.00 90.00 121.88
With the nearest neighbours (Å) after each atom.
Atoms (fractional coordinates):
Be (0.1732, 0.8268, 0.0000)  3 Be 2.32-2.54, 3 Al 2.39-2.40
Be (0.8268, 0.1732, 0.0000)  3 Be 2.32-2.54, 3 Al 2.39-2.40
Al (0.5000, 0.5000, 0.0000)  6 Be 2.39-2.40
Te (0.0000, 0.0000, 0.5000)  4 Be 2.71



Q.
## Be2AlTe (PBE)

Data for Be2AlTe after structural relaxation.

Lattice parameters (Å, degrees): 3.5794 3.5794 5.2796 90.00 90.00 90.00
With the nearest neighbours (Å) after each atom.
Atoms (fractional coordinates):
Be (0.0000, 0.0000, 0.0000)  4 Al 2.53, 2 Te 2.63-2.65
Be (0.5000, 0.5000, 0.4980)  4 Te 2.53, 2 Al 2.63-2.65
Al (0.5000, 0.5000, 0.9966)  6 Be 2.53-2.65
Te (0.0000, 0.0000, 0.4978)  6 Be 2.53-2.65



R.
## Be2AlTe (PBE)

Data for Be2AlTe after structural relaxation.

Lattice parameters (Å, degrees): 4.4883 4.4883 3.5042 99.02 99.02 103.45
With the nearest neighbours (Å) after each atom.
Atoms (fractional coordinates):
Be (0.0000, 0.5000, 0.0000)  2 Al 2.62, 2 Te 2.62, 2 Be 2.78
Be (0.5000, 0.0000, 0.0000)  2 Al 2.62, 2 Te 2.62, 2 Be 2.78
Al (0.0000, 0.0000, 0.5000)  4 Be 2.62, 2 Te 2.78
Te (0.5000, 0.5000, 0.5000)  4 Be 2.62, 2 Al 2.78



Stability summary - winner: P; margin: 0.285 eV/atom.



P.
## BeAlTe3 (PBE)

Data for BeAlTe3 after structural relaxation.

Lattice parameters (Å, degrees): 5.0340 5.0340 5.0340 90.00 90.00 90.00
With the nearest neighbours (Å) after each atom.
Atoms (fractional coordinates):
Be (0.0000, 0.0000, 0.0000)  6 Te 2.52
Al (0.5000, 0.5000, 0.5000)  12 Te 3.56
Te (0.0000, 0.0000, 0.5000)  2 Be 2.52
Te (0.0000, 0.5000, 0.0000)  2 Be 2.52
Te (0.5000, 0.0000, 0.0000)  2 Be 2.52



Q.
## BeAlTe3 (PBE)

Data for BeAlTe3 after structural relaxation.

Lattice parameters (Å, degrees): 5.2983 5.2983 5.2983 90.00 90.00 90.00
With the nearest neighbours (Å) after each atom.
Atoms (fractional coordinates):
Be (0.0000, 0.0000, 0.0000)  12 Te 3.75
Al (0.5000, 0.5000, 0.5000)  6 Te 2.65
Te (0.0000, 0.5000, 0.5000)  2 Al 2.65
Te (0.5000, 0.0000, 0.5000)  2 Al 2.65
Te (0.5000, 0.5000, 0.0000)  2 Al 2.65



Stability summary - winner: P; margin: 0.387 eV/atom.



P.
## Be3AlTe (PBE)

Data for Be3AlTe after structural relaxation.

Lattice parameters (Å, degrees): 4.7211 4.7211 4.7211 90.00 90.00 90.00
With the nearest neighbours (Å) after each atom.
Atoms (fractional coordinates):
Be (0.0000, 0.0000, 0.5000)  2 Te 2.36
Be (0.0000, 0.5000, 0.0000)  2 Te 2.36
Be (0.5000, 0.0000, 0.0000)  2 Te 2.36
Al (0.5000, 0.5000, 0.5000)  12 Be 3.34
Te (0.0000, 0.0000, 0.0000)  6 Be 2.36



Q.
## Be3AlTe (PBE)

Data for Be3AlTe after structural relaxation.

Lattice parameters (Å, degrees): 4.4982 4.4982 4.4982 90.00 90.00 90.00
With the nearest neighbours (Å) after each atom.
Atoms (fractional coordinates):
Be (0.0000, 0.0000, 0.5000)  2 Al 2.25
Be (0.0000, 0.5000, 0.0000)  2 Al 2.25
Be (0.5000, 0.0000, 0.0000)  2 Al 2.25
Al (0.0000, 0.0000, 0.0000)  6 Be 2.25
Te (0.5000, 0.5000, 0.5000)  12 Be 3.18



Stability summary - winner: Q; margin: 0.348 eV/atom.



P.
## Ti2BeAl (PBE)

Data for Ti2BeAl after structural relaxation.

Lattice parameters (Å, degrees): 5.5327 5.5327 5.5327 101.73 101.73 126.40
With the nearest neighbours (Å) after each atom.
Atoms (fractional coordinates):
Ti (0.1040, 0.6250, 0.9790)  2 Be 2.45, 2 Ti 2.51, 2 Al 2.65
Ti (0.3750, 0.3540, 0.4790)  2 Be 2.45, 2 Ti 2.51, 2 Al 2.65
Ti (0.6460, 0.1250, 0.0210)  2 Be 2.45, 2 Ti 2.51, 2 Al 2.65
Ti (0.8750, 0.8960, 0.5210)  2 Be 2.45, 2 Ti 2.51, 2 Al 2.65
Be (0.0000, 0.0000, 0.0000)  4 Ti 2.45, 2 Al 2.49
Be (0.7500, 0.2500, 0.5000)  4 Ti 2.45, 2 Al 2.49
Al (0.2500, 0.7500, 0.5000)  2 Be 2.49, 4 Ti 2.65
Al (0.5000, 0.5000, 0.0000)  2 Be 2.49, 4 Ti 2.65



Q.
## Ti2BeAl (PBE)

Data for Ti2BeAl after structural relaxation.

Lattice parameters (Å, degrees): 3.8870 3.8870 3.8642 90.00 90.00 90.00
With the nearest neighbours (Å) after each atom.
Atoms (fractional coordinates):
Ti (0.0000, 0.5000, 0.0000)  4 Be 2.74, 4 Al 2.74, 4 Ti 2.75
Ti (0.5000, 0.0000, 0.0000)  4 Be 2.74, 4 Al 2.74, 4 Ti 2.75
Be (0.0000, 0.0000, 0.5000)  8 Ti 2.74, 4 Al 2.75
Al (0.5000, 0.5000, 0.5000)  8 Ti 2.74, 4 Be 2.75



Stability summary - winner: Q; margin: 0.399 eV/atom.